The following is a DFT calculation (PBE+U) of Ac2MnTeO6 after structural relaxation.

Calculated values
final energy: -7.10 eV per atom
calculated volume: 16.94 Å³ per atom
size of the total moment: 5.00 μB per cell

Cell: 5.3562 5.6235 5.6235 Å, 90.00 90.00 90.00°
Each line ends with the local moment (μB).
Fractional positions:
Ac 0.0282 0.5000 0.0000  0.01
Ac 0.0282 0.0000 0.5000  0.01
Mn 0.5677 0.5000 0.5000  4.58
Te 0.6561 0.0000 0.0000  0.03
O 0.7335 0.2525 0.2525  0.02
O 0.7335 0.2525 0.7475  0.02
O 0.1862 0.5000 0.5000  0.03
O 0.0464 0.0000 0.0000  0.01
O 0.7335 0.7475 0.7475  0.02
O 0.7335 0.7475 0.2525  0.02